# CoRe, optimized geometry, DFT PBE
# Total magnetization ... 1.1 μB per formula unit
# Energy of formation from the pure elements ... 0.14 eV per atom
data_CoRe
_chemical_formula_sum 'Co2 Re2'
_cell_length_a 2.7020
_cell_length_b 2.7020
_cell_length_c 8.3328
_cell_angle_alpha 90.00
_cell_angle_beta 90.00
_cell_angle_gamma 120.00
_symmetry_space_group_name_H-M 'P -3 m 1'
_symmetry_Int_Tables_number 164
_symmetry_space_group_name_Hall '-P 3 2"'
loop_
_atom_site_label
_atom_site_type_symbol
_atom_site_fract_x
_atom_site_fract_y
_atom_site_fract_z
Co1 Co 0.3333 0.6667 0.3838
Re1 Re 0.3333 0.6667 0.8628